An optimized crystal structure of LiMoSe2Br. Source: Alexandria, functional PBE-GGA.

Unit cell a=4.8791 b=4.8791 c=5.5876 alpha=90.00 beta=90.00 gamma=90.00
Closest atoms and distances in Å follow each position.
Fractional positions:
Mo 0.0000 0.0000 0.0000  4 Se 2.44
Se 0.0000 0.5000 0.0000  2 Mo 2.44
Se 0.5000 0.0000 0.0000  2 Mo 2.44
Br 0.0000 0.0000 0.5000  2 Mo 2.79
Li 0.5000 0.5000 0.5000  4 Br 3.45, 8 Se 3.71

## Properties
Space-group type ... P4/mmm (123)
Uncorrected formation energy ... -0.246 eV per atom
E above lowest polymorph ... 0.00 eV/f.u.
Volume ... 133 Å³ per cell
ρ ... 4.25 g/cm3